A plane-wave DFT calculation with GGA-PBE was carried out for an optimized crystal structure of CoBW3.

Values from the calculation:
- crystal system = cubic

The structure in CIF format:
```
data_CoBW3
_space_group_name_H-M_alt 'P m -3 m'
_space_group_IT_number 221
_space_group_name_Hall '-P 4 2 3'
_cell_length_a 4.136
_cell_length_b 4.136
_cell_length_c 4.136
_cell_angle_alpha 90.00
_cell_angle_beta 90.00
_cell_angle_gamma 90.00
loop_
_atom_site_label
_atom_site_fract_x
_atom_site_fract_y
_atom_site_fract_z
_atom_site_occupancy
Co1 0.000 0.000 0.000 1
B1 0.500 0.500 0.500 1
W1 0.000 0.500 0.500 1
```



A plane-wave DFT calculation with GGA-PBE was carried out for an optimized crystal structure of Y3Co4B4.

Values from the calculation:
- crystal system = monoclinic

The structure in CIF format:
```
data_Y3Co4B4
_space_group_name_H-M_alt 'C 1 2/m 1'
_space_group_IT_number 12
_space_group_name_Hall '-C 2y'
_cell_length_a 21.632
_cell_length_b 3.388
_cell_length_c 3.980
_cell_angle_alpha 90.00
_cell_angle_beta 96.47
_cell_angle_gamma 90.00
loop_
_atom_site_label
_atom_site_fract_x
_atom_site_fract_y
_atom_site_fract_z
_atom_site_occupancy
Y1 0.000 0.000 0.000 1
Y2 0.149 0.500 0.101 1
Co1 0.059 0.500 0.542 1
Co2 0.213 0.000 0.631 1
B1 0.108 0.000 0.577 1
B2 0.245 0.000 0.146 1
```



Number 1: E_form 0.434 eV/atom, total energy -10.0942 eV/atom. Number 2: E_form -0.362 eV/atom, total energy -7.1366 eV/atom.